SrSbF2 | PBEsol | optimized geometry

a = 4.7425 Å, b = 4.7425 Å, c = 4.7425 Å
α = 60.00°, β = 60.00°, γ = 60.00°
Positions (direct):
Sr 0.0000 0.0000 0.0000
Sb 0.5000 0.5000 0.5000
F 0.2500 0.2500 0.2500
F 0.7500 0.7500 0.7500

Output
The density is 5.4 Mg/m³. For the formation energy (no corrections), the calculation gives -656 kJ/mol of formula units. The space group is Fm-3m (225). The calculation puts the total energy at -17.0 eV/cell.